{"formula": "KCd2Cl5", "functional": "PBE", "state": "relaxed", "lattice": [[2.7378, -6.2438, 0.0000], [2.7378, 6.2438, 0.0000], [0.0000, 0.0000, 13.1088]], "species": ["K", "K", "Cd", "Cd", "Cd", "Cd", "Cl", "Cl", "Cl", "Cl", "Cl", "Cl", "Cl", "Cl", "Cl", "Cl"], "frac_coords": [[0.0310, 0.9690, 0.7500], [0.9690, 0.0310, 0.2500], [0.3533, 0.6467, 0.5576], [0.3533, 0.6467, 0.9424], [0.6467, 0.3533, 0.0576], [0.6467, 0.3533, 0.4424], [0.1650, 0.8350, 0.0354], [0.1650, 0.8350, 0.4646], [0.2839, 0.7161, 0.7500], [0.4509, 0.5491, 0.1222], [0.4509, 0.5491, 0.3778], [0.5491, 0.4509, 0.6222], [0.5491, 0.4509, 0.8778], [0.7161, 0.2839, 0.2500], [0.8350, 0.1650, 0.5354], [0.8350, 0.1650, 0.9646]], "raw_formation_energy_mev_per_atom": -1292, "energy_ev_per_cell": -44.99}